Material: NiPtCl2
Method: DFT, PBE
State: optimized geometry

Output
formation energy without anion corrections: 0.5779 eV/atom
offset from the most stable computed form: 798 meV/atom
N(E_F): 3.65 states/eV/f.u.
size of the total moment: 1.94 μB per formula unit

Unit cell a=2.9820 b=2.9820 c=7.3863 alpha=90.00 beta=90.00 gamma=90.00
Closest atoms and distances in Å follow each position.
Space group P4/mmm (No. 123)
Inequivalent atoms, fractional coordinates:
1 Ni 0.0000 0.0000 0.0000 (multiplicity 1)  8 Cl 2.60
2 Pt 0.0000 0.0000 0.5000 (multiplicity 1)  4 Pt 2.98, 8 Cl 3.03
3 Cl 0.5000 0.5000 0.2059 (multiplicity 2)  4 Ni 2.60



Material: HgTeW2
Method: DFT, PBE
State: optimized geometry

Output
formation energy without anion corrections: 0.4969 eV/atom
offset from the most stable computed form: 46 meV/atom
N(E_F): 1.32 states/eV/f.u.
size of the total moment: 0.00 μB per formula unit

Unit cell a=3.2655 b=3.2655 c=8.0501 alpha=90.00 beta=90.00 gamma=90.00
Closest atoms and distances in Å follow each position.
Space group P4mm (No. 99)
Inequivalent atoms, fractional coordinates:
1 Hg 0.0000 0.0000 0.0000 (multiplicity 1)  5 W 3.01-3.31, 4 Hg 3.27
2 Te 0.5000 0.5000 0.3737 (multiplicity 1)  5 W 2.89-3.11
3 W 0.0000 0.0000 0.5886 (multiplicity 1)  4 W 2.69, 4 Te 2.89
4 W 0.5000 0.5000 0.7595 (multiplicity 1)  4 W 2.69



Material: Cu3Te6Pd
Method: DFT, PBE
State: optimized geometry

Output
formation energy without anion corrections: 0.0341 eV/atom
N(E_F): 6.30 states/eV/f.u.
size of the total moment: 0.00 μB per formula unit

Unit cell a=10.4634 b=12.2555 c=4.1297 alpha=90.00 beta=90.00 gamma=90.00
Closest atoms and distances in Å follow each position.
Space group Cmmm (No. 65)
Inequivalent atoms, fractional coordinates:
1 Cu 0.0000 0.0000 0.0000 (multiplicity 2)  4 Te 2.54
2 Cu 0.2500 0.2500 0.5000 (multiplicity 4)  6 Te 2.66-2.92
3 Te 0.0000 0.3563 0.5000 (multiplicity 4)  2 Pd 2.71, 2 Cu 2.92
4 Te 0.1978 0.1205 0.0000 (multiplicity 8)  3 Cu 2.54-2.66
5 Pd 0.0000 0.5000 0.0000 (multiplicity 2)  4 Te 2.71



Material: Pr2Nd6Rh
Method: DFT, PBE
State: optimized geometry

Output
N(E_F): 13.02 states/eV/f.u.
energy of formation: 19 meV/atom
size of the total moment: 0.00 μB per formula unit

Unit cell a=17.8479 b=9.4813 c=3.7349 alpha=90.00 beta=90.09 gamma=90.00
Closest atoms and distances in Å follow each position.
Space group C2/m (No. 12)
Inequivalent atoms, fractional coordinates:
1 Pr 0.1690 0.0000 0.4984 (multiplicity 4)  10 Nd 3.67-4.04, 2 Pr 3.73
2 Nd 0.0000 0.2837 0.5000 (multiplicity 4)  2 Rh 2.77
3 Nd 0.1680 0.3339 0.0007 (multiplicity 8)  2 Nd 3.15-3.33, 1 Rh 3.39
4 Rh 0.0000 0.5000 0.0000 (multiplicity 2)  4 Nd 2.77



Material: Ac2Zn3HgPt4
Method: DFT, PBE
State: optimized geometry

Output
N(E_F): 3.87 states/eV/f.u.
energy of formation: -734 meV/atom
size of the total moment: 0.00 μB per formula unit

Unit cell a=4.3424 b=4.3424 c=11.2823 alpha=90.00 beta=90.00 gamma=90.00
Closest atoms and distances in Å follow each position.
Space group P-4m2 (No. 115)
Inequivalent atoms, fractional coordinates:
1 Ac 0.0000 0.5000 0.2406 (multiplicity 2)  8 Pt 3.29-3.48, 6 Zn 3.35-3.64, 2 Hg 3.64
2 Zn 0.0000 0.5000 0.8789 (multiplicity 2)  5 Pt 2.52-2.57
3 Zn 0.5000 0.5000 0.5000 (multiplicity 1)  4 Pt 2.79, 4 Hg 3.07
4 Hg 0.0000 0.0000 0.5000 (multiplicity 1)  4 Pt 2.79, 4 Zn 3.07
5 Pt 0.0000 0.0000 0.0000 (multiplicity 1)  4 Zn 2.57
6 Pt 0.0000 0.5000 0.6557 (multiplicity 2)  3 Zn 2.52-2.79, 2 Hg 2.79
7 Pt 0.5000 0.5000 0.0000 (multiplicity 1)  4 Zn 2.57



Material: RbSn8Au6
Method: DFT, PBE
State: optimized geometry

Output
N(E_F): 5.00 states/eV/f.u.
energy of formation: -102 meV/atom
size of the total moment: 0.00 μB per formula unit

Unit cell a=9.2593 b=9.2593 c=15.4307 alpha=90.00 beta=90.00 gamma=120.00
Closest atoms and distances in Å follow each position.
Space group R-3 (No. 148, hexagonal axes)
Inequivalent atoms, fractional coordinates:
1 Rb 0.0000 0.0000 0.0000 (multiplicity 3)  8 Sn 3.53-3.55, 6 Au 3.92
2 Sn 0.0000 0.0000 0.2286 (multiplicity 6)  3 Au 2.87
3 Sn 0.0011 0.6413 0.7933 (multiplicity 18)  4 Au 2.84-3.03
4 Au 0.0043 0.2018 0.3712 (multiplicity 18)  5 Sn 2.84-3.03, 1 Au 3.00



Material: Na3Sc2TeSe6
Method: DFT, PBE
State: optimized geometry

Output
formation energy without anion corrections: -1.1131 eV/atom
N(E_F): 5.50 states/eV/f.u.
size of the total moment: 1.05 μB per formula unit

Unit cell a=6.9536 b=12.3957 c=7.2949 alpha=90.00 beta=108.34 gamma=90.00
Closest atoms and distances in Å follow each position.
Space group C2/m (No. 12)
Inequivalent atoms, fractional coordinates:
1 Na 0.0000 0.0000 0.0000 (multiplicity 2)  6 Se 3.00-3.10
2 Na 0.0000 0.3425 0.0000 (multiplicity 4)  6 Se 3.00-3.06
3 Sc 0.0000 0.1713 0.5000 (multiplicity 4)  6 Se 2.73-2.81
4 Te 0.0000 0.5000 0.5000 (multiplicity 2)  6 Se 2.79-2.97
5 Se 0.2292 0.0000 0.7132 (multiplicity 4)  1 Te 2.79, 2 Sc 2.81, 3 Na 3.00-3.04
6 Se 0.2462 0.1770 0.2739 (multiplicity 8)  2 Sc 2.73-2.75, 1 Te 2.97, 1 Na 3.00



Material: BaNa2SrAu
Method: DFT, PBE
State: optimized geometry

Output
offset from the most stable computed form: 0 meV/atom
N(E_F): 5.16 states/eV/f.u.
energy of formation: -135 meV/atom
size of the total moment: 0.00 μB per formula unit

Unit cell a=5.9270 b=5.9270 c=6.0224 alpha=90.00 beta=90.00 gamma=90.00
Closest atoms and distances in Å follow each position.
Space group P4/mmm (No. 123)
Inequivalent atoms, fractional coordinates:
1 Ba 0.0000 0.0000 0.0000 (multiplicity 1)  4 Sr 4.19, 8 Na 4.22
2 Na 0.0000 0.5000 0.5000 (multiplicity 2)  2 Au 2.96
3 Sr 0.5000 0.5000 0.0000 (multiplicity 1)  2 Au 3.01
4 Au 0.5000 0.5000 0.5000 (multiplicity 1)  4 Na 2.96, 2 Sr 3.01



Material: Er2VSi
Method: DFT, PBE
State: optimized geometry

Output
formation energy without anion corrections: 0.4420 eV/atom
N(E_F): 3.66 states/eV/f.u.
size of the total moment: 2.90 μB per formula unit

Unit cell a=3.3454 b=3.3454 c=29.4778 alpha=90.00 beta=90.00 gamma=120.00
Closest atoms and distances in Å follow each position.
Space group R-3m (No. 166, hexagonal axes)
Inequivalent atoms, fractional coordinates:
1 Er 0.0000 0.0000 0.0958 (multiplicity 6)  1 V 2.82, 3 Si 2.85
2 V 0.0000 0.0000 0.0000 (multiplicity 3)  2 Er 2.82
3 Si 0.0000 0.0000 0.5000 (multiplicity 3)  6 Er 2.85



Material: EuMg2In
Method: DFT, PBE
State: optimized geometry

Output
offset from the most stable computed form: 0 meV/atom
N(E_F): 1.82 states/eV/f.u.
energy of formation: -198 meV/atom
size of the total moment: 7.18 μB per formula unit

Unit cell a=7.3846 b=7.3846 c=7.3846 alpha=90.00 beta=90.00 gamma=90.00
Closest atoms and distances in Å follow each position.
Space group Fm-3m (No. 225)
Inequivalent atoms, fractional coordinates:
1 Eu 0.0000 0.0000 0.0000 (multiplicity 4)  8 Mg 3.20
2 Mg 0.2500 0.2500 0.2500 (multiplicity 8)  4 Eu 3.20, 4 In 3.20
3 In 0.0000 0.0000 0.5000 (multiplicity 4)  8 Mg 3.20



Material: AgBSbI2
Method: DFT, PBE
State: optimized geometry

Output
formation energy without anion corrections: 0.8590 eV/atom
offset from the most stable computed form: 0 meV/atom
N(E_F): 3.01 states/eV/f.u.
size of the total moment: 0.00 μB per formula unit

Unit cell a=5.6034 b=5.6034 c=4.4400 alpha=90.00 beta=90.00 gamma=90.00
Closest atoms and distances in Å follow each position.
Space group P4/mmm (No. 123)
Inequivalent atoms, fractional coordinates:
1 Ag 0.0000 0.0000 0.0000 (multiplicity 1)  8 I 3.57, 4 Sb 3.96
2 B 0.5000 0.5000 0.5000 (multiplicity 1)  2 Sb 2.22
3 Sb 0.5000 0.5000 0.0000 (multiplicity 1)  2 B 2.22
4 I 0.0000 0.5000 0.5000 (multiplicity 2)  2 B 2.80



Material: TcI3O
Method: DFT, PBE
State: optimized geometry

Output
formation energy without anion corrections: 1.0396 eV/atom
offset from the most stable computed form: 1359 meV/atom
N(E_F): 3.86 states/eV/f.u.
size of the total moment: 5.01 μB per formula unit

Unit cell a=5.1213 b=5.1213 c=5.1213 alpha=90.00 beta=90.00 gamma=90.00
Closest atoms and distances in Å follow each position.
Space group Pm-3m (No. 221)
Inequivalent atoms, fractional coordinates:
1 Tc 0.0000 0.0000 0.0000 (multiplicity 1)  12 I 3.62
2 I 0.0000 0.5000 0.5000 (multiplicity 3)  2 O 2.56
3 O 0.5000 0.5000 0.5000 (multiplicity 1)  6 I 2.56